1.
A relaxed Tb2Al4CuPt3 crystal, computed with PBE-GGA.

Properties
* crystal system: tetragonal
* space group: P-4m2 (115)
* ΔE_f: -0.973 eV per atom
* magnetization: 0.000 μB per atom
* V: 184.4 Å³/cell

Cell lengths 4.1508, 4.1508, 10.7022 Å; angles 90.00, 90.00, 90.00 degrees
With the nearest neighbours (Å) after each atom.
Fractional coordinates of all 10 atoms:
Tb  0.5000  0.0000  0.2491  6 Pt 3.16-3.39, 8 Al 3.22-3.38, 2 Cu 3.39
Al  0.0000  0.0000  0.0000  4 Pt 2.55
Al  0.5000  0.5000  0.0000  4 Pt 2.55
Tb  0.0000  0.5000  0.7509  6 Pt 3.16-3.39, 8 Al 3.22-3.38, 2 Cu 3.39
Cu  0.5000  0.5000  0.5000  4 Al 2.49
Al  0.0000  0.5000  0.3718  2 Cu 2.49, 3 Pt 2.49-2.50
Pt  0.0000  0.0000  0.5000  4 Al 2.49
Pt  0.0000  0.5000  0.1385  5 Al 2.50-2.55
Pt  0.5000  0.0000  0.8615  5 Al 2.50-2.55
Al  0.5000  0.0000  0.6282  3 Pt 2.49-2.50, 2 Cu 2.49



2.
A relaxed TbAlCuPt crystal, computed with PBE-GGA.

Properties
* crystal system: cubic
* space group: F-43m (216)
* ΔE_f: -0.688 eV per atom
* magnetization: 0.000 μB per atom
* V: 71.3 Å³/cell

Cell lengths 4.6552, 4.6552, 4.6552 Å; angles 60.00, 60.00, 60.00 degrees
With the nearest neighbours (Å) after each atom.
Fractional coordinates of all 4 atoms:
Pt  0.2500  0.2500  0.2500  4 Tb 2.85, 4 Al 2.85
Tb  0.0000  0.0000  0.0000  4 Cu 2.85, 4 Pt 2.85
Al  0.5000  0.5000  0.5000  4 Cu 2.85, 4 Pt 2.85
Cu  0.7500  0.7500  0.7500  4 Al 2.85, 4 Tb 2.85



3.
A relaxed TbAl4Cu2Pt crystal, computed with PBE-GGA.

Properties
* crystal system: trigonal
* space group: R-3m (166)
* ΔE_f: -0.501 eV per atom
* magnetization: 0.000 μB per atom
* V: 136.0 Å³/cell

Cell lengths 4.2062, 4.2062, 9.2027 Å; angles 76.79, 76.79, 60.00 degrees
With the nearest neighbours (Å) after each atom.
Fractional coordinates of all 8 atoms:
Al  0.5965  0.5965  0.2104  3 Cu 2.46, 1 Pt 2.57
Cu  0.2481  0.2481  0.2556  6 Al 2.46-2.69
Cu  0.7519  0.7519  0.7444  6 Al 2.46-2.69
Al  0.1289  0.1289  0.6133  3 Pt 2.63, 3 Cu 2.69, 3 Al 2.89
Tb  0.0000  0.0000  0.0000  6 Al 3.06, 6 Cu 3.32
Al  0.8711  0.8711  0.3867  3 Pt 2.63, 3 Cu 2.69, 3 Al 2.89
Pt  0.5000  0.5000  0.5000  8 Al 2.57-2.63
Al  0.4035  0.4035  0.7896  3 Cu 2.46, 1 Pt 2.57



4.
A relaxed Tb2AlCu2Pt5 crystal, computed with PBE-GGA.

Properties
* crystal system: tetragonal
* space group: P4/mbm (127)
* ΔE_f: -0.881 eV per atom
* magnetization: 0.000 μB per atom
* V: 340.1 Å³/cell

Cell lengths 3.8089, 9.4487, 9.4487 Å; angles 90.00, 90.00, 90.00 degrees
With the nearest neighbours (Å) after each atom.
Fractional coordinates of all 20 atoms:
Tb  0.0000  0.6741  0.1741  3 Cu 2.69-2.86, 2 Pt 3.01
Tb  0.0000  0.8259  0.6741  3 Cu 2.69-2.86, 2 Pt 3.01
Tb  0.0000  0.1741  0.3259  3 Cu 2.69-2.86, 2 Pt 3.01
Pt  0.5000  0.5659  0.7022  2 Cu 2.57, 2 Al 2.77, 2 Pt 2.84
Pt  0.5000  0.7022  0.4341  2 Cu 2.57, 2 Al 2.77, 2 Pt 2.84
Al  0.0000  0.0000  0.0000  8 Pt 2.77
Pt  0.5000  0.2022  0.0659  2 Cu 2.57, 2 Al 2.77, 2 Pt 2.84
Pt  0.5000  0.7978  0.9341  2 Cu 2.57, 2 Al 2.77, 2 Pt 2.84
Cu  0.0000  0.8756  0.3756  6 Pt 2.53-2.57, 1 Tb 2.69
Cu  0.0000  0.6244  0.8756  6 Pt 2.53-2.57, 1 Tb 2.69
Cu  0.0000  0.1244  0.6244  6 Pt 2.53-2.57, 1 Tb 2.69
Cu  0.0000  0.3756  0.1244  6 Pt 2.53-2.57, 1 Tb 2.69
Pt  0.5000  0.0000  0.5000  4 Cu 2.53
Al  0.0000  0.5000  0.5000  8 Pt 2.77
Pt  0.5000  0.5000  0.0000  4 Cu 2.53
Pt  0.5000  0.9341  0.2022  2 Cu 2.57, 2 Al 2.77, 2 Pt 2.84
Pt  0.5000  0.0659  0.7978  2 Cu 2.57, 2 Al 2.77, 2 Pt 2.84
Tb  0.0000  0.3259  0.8259  3 Cu 2.69-2.86, 2 Pt 3.01
Pt  0.5000  0.4341  0.2978  2 Cu 2.57, 2 Al 2.77, 2 Pt 2.84
Pt  0.5000  0.2978  0.5659  2 Cu 2.57, 2 Al 2.77, 2 Pt 2.84



5.
A relaxed ThAlCu2Pt4 crystal, computed with PBE-GGA.

Properties
* crystal system: trigonal
* space group: R-3m (166)
* ΔE_f: -0.741 eV per atom
* magnetization: 0.000 μB per atom
* V: 135.3 Å³/cell

Cell lengths 4.3219, 4.3219, 8.7268 Å; angles 75.66, 75.66, 60.00 degrees
With the nearest neighbours (Å) after each atom.
Fractional coordinates of all 8 atoms:
Pt  0.1323  0.1323  0.6030  3 Al 2.64, 4 Cu 2.71-2.77
Cu  0.2428  0.2428  0.2717  7 Pt 2.57-2.77
Pt  0.6001  0.6001  0.1996  1 Al 2.51, 3 Cu 2.57
Pt  0.3999  0.3999  0.8004  1 Al 2.51, 3 Cu 2.57
Al  0.5000  0.5000  0.5000  8 Pt 2.51-2.64
Th  0.0000  0.0000  0.0000  8 Pt 3.00-3.32
Pt  0.8677  0.8677  0.3970  3 Al 2.64, 4 Cu 2.71-2.77
Cu  0.7572  0.7572  0.7283  7 Pt 2.57-2.77



6.
A relaxed ThAl2CuPt4 crystal, computed with PBE-GGA.

Properties
* crystal system: trigonal
* space group: R-3m (166)
* ΔE_f: -0.961 eV per atom
* magnetization: 0.000 μB per atom
* V: 138.9 Å³/cell

Cell lengths 4.2662, 4.2662, 9.1490 Å; angles 76.52, 76.52, 60.00 degrees
With the nearest neighbours (Å) after each atom.
Fractional coordinates of all 8 atoms:
Cu  0.5000  0.5000  0.5000  8 Pt 2.61-2.63
Th  0.0000  0.0000  0.0000  6 Pt 3.05
Al  0.7663  0.7663  0.7012  7 Pt 2.60-2.69
Al  0.2337  0.2337  0.2988  7 Pt 2.60-2.69
Pt  0.1320  0.1320  0.6040  4 Al 2.61-2.69, 3 Cu 2.63
Pt  0.4012  0.4012  0.7963  3 Al 2.60, 1 Cu 2.61
Pt  0.5988  0.5988  0.2037  3 Al 2.60, 1 Cu 2.61
Pt  0.8680  0.8680  0.3960  4 Al 2.61-2.69, 3 Cu 2.63



7.
A relaxed Th2Al4Cu3Pt crystal, computed with PBE-GGA.

Properties
* crystal system: tetragonal
* space group: P-4m2 (115)
* ΔE_f: -0.579 eV per atom
* magnetization: 0.000 μB per atom
* V: 184.7 Å³/cell

Cell lengths 4.2769, 4.2769, 10.0974 Å; angles 90.00, 90.00, 90.00 degrees
With the nearest neighbours (Å) after each atom.
Fractional coordinates of all 10 atoms:
Th  0.5000  0.0000  0.2549  8 Al 3.24-3.35, 2 Pt 3.27, 6 Cu 3.27-3.28
Al  0.0000  0.0000  0.0000  4 Cu 2.50
Al  0.0000  0.5000  0.3694  3 Cu 2.43-2.51, 2 Pt 2.51
Al  0.5000  0.0000  0.6306  3 Cu 2.43-2.51, 2 Pt 2.51
Cu  0.5000  0.0000  0.8712  5 Al 2.43-2.50
Cu  0.0000  0.5000  0.1288  5 Al 2.43-2.50
Al  0.5000  0.5000  0.0000  4 Cu 2.50
Pt  0.5000  0.5000  0.5000  4 Al 2.51
Th  0.0000  0.5000  0.7451  8 Al 3.24-3.35, 2 Pt 3.27, 6 Cu 3.27-3.28
Cu  0.0000  0.0000  0.5000  4 Al 2.51



8.
A relaxed Ti2Al2Cu7Pt crystal, computed with PBE-GGA.

Properties
* crystal system: orthorhombic
* space group: Cmmm (65)
* ΔE_f: -0.074 eV per atom
* magnetization: 0.000 μB per atom
* V: 169.3 Å³/cell

Cell lengths 3.8247, 3.8247, 12.8339 Å; angles 71.87, 71.87, 87.51 degrees
With the nearest neighbours (Å) after each atom.
Fractional coordinates of all 12 atoms:
Cu  0.8433  0.3434  0.1566  2 Al 2.52, 2 Pt 2.64, 6 Cu 2.64-2.76, 2 Ti 2.78
Ti  0.8303  0.8303  0.6694  6 Cu 2.53-2.78, 4 Al 2.67-2.79
Pt  0.0000  0.0000  0.0000  12 Cu 2.64-2.76
Cu  0.5000  0.5000  0.0000  8 Cu 2.64, 4 Pt 2.65-2.76
Cu  0.1567  0.6566  0.8434  2 Al 2.52, 2 Pt 2.64, 6 Cu 2.64-2.76, 2 Ti 2.78
Cu  0.2878  0.2878  0.5001  1 Cu 2.34, 2 Ti 2.53, 2 Al 2.62
Cu  0.6566  0.1567  0.8434  2 Al 2.52, 2 Pt 2.64, 6 Cu 2.64-2.76, 2 Ti 2.78
Cu  0.7122  0.7122  0.4999  1 Cu 2.34, 2 Ti 2.53, 2 Al 2.62
Ti  0.1697  0.1697  0.3306  6 Cu 2.53-2.78, 4 Al 2.67-2.79
Cu  0.3434  0.8433  0.1566  2 Al 2.52, 2 Pt 2.64, 6 Cu 2.64-2.76, 2 Ti 2.78
Al  0.2978  0.2978  0.7023  6 Cu 2.52-2.62, 4 Ti 2.67-2.79
Al  0.7022  0.7022  0.2977  6 Cu 2.52-2.62, 4 Ti 2.67-2.79



9.
A relaxed Tm2Al3CuPt4 crystal, computed with PBE-GGA.

Properties
* crystal system: tetragonal
* space group: P-4m2 (115)
* ΔE_f: -0.998 eV per atom
* magnetization: 0.000 μB per atom
* V: 180.3 Å³/cell

Cell lengths 4.0271, 4.0271, 11.1176 Å; angles 90.00, 90.00, 90.00 degrees
With the nearest neighbours (Å) after each atom.
Fractional coordinates of all 10 atoms:
Al  0.0000  0.0000  0.5000  4 Pt 2.60, 4 Cu 2.85
Pt  0.5000  0.5000  0.0000  4 Al 2.49
Al  0.0000  0.5000  0.1316  5 Pt 2.45-2.49
Pt  0.0000  0.5000  0.3516  3 Al 2.45-2.60, 2 Cu 2.60
Pt  0.5000  0.0000  0.6484  3 Al 2.45-2.60, 2 Cu 2.60
Tm  0.5000  0.0000  0.2619  4 Pt 3.02, 6 Al 3.19-3.33, 2 Cu 3.33
Al  0.5000  0.0000  0.8684  5 Pt 2.45-2.49
Pt  0.0000  0.0000  0.0000  4 Al 2.49
Cu  0.5000  0.5000  0.5000  4 Pt 2.60, 4 Al 2.85
Tm  0.0000  0.5000  0.7381  4 Pt 3.02, 6 Al 3.19-3.33, 2 Cu 3.33



10.
A relaxed TmAl3CuPt crystal, computed with PBE-GGA.

Properties
* crystal system: orthorhombic
* space group: Cmcm (63)
* ΔE_f: -0.504 eV per atom
* magnetization: 0.000 μB per atom
* V: 214.5 Å³/cell

Cell lengths 5.6801, 6.2275, 6.8159 Å; angles 117.18, 90.00, 90.00 degrees
With the nearest neighbours (Å) after each atom.
Fractional coordinates of all 12 atoms:
Tm  0.7500  0.2849  0.5699  1 Cu 2.64
Pt  0.2500  0.3542  0.7083  5 Al 2.54-2.62
Pt  0.7500  0.6458  0.2917  5 Al 2.54-2.62
Al  0.7500  0.8551  0.7102  1 Pt 2.54, 1 Cu 2.57
Tm  0.2500  0.7151  0.4301  1 Cu 2.64
Al  0.5000  0.2900  0.0000  2 Cu 2.44, 1 Al 2.62, 2 Pt 2.62
Al  0.0000  0.7100  0.0000  2 Cu 2.44, 1 Al 2.62, 2 Pt 2.62
Al  0.0000  0.2900  0.0000  2 Cu 2.44, 1 Al 2.62, 2 Pt 2.62
Cu  0.2500  0.9329  0.8658  5 Al 2.44-2.57, 1 Tm 2.64
Al  0.2500  0.1449  0.2898  1 Pt 2.54, 1 Cu 2.57
Al  0.5000  0.7100  0.0000  2 Cu 2.44, 1 Al 2.62, 2 Pt 2.62
Cu  0.7500  0.0671  0.1342  5 Al 2.44-2.57, 1 Tm 2.64



11.
A relaxed Tm2Al4Cu3Pt crystal, computed with PBE-GGA.

Properties
* crystal system: tetragonal
* space group: P-4m2 (115)
* ΔE_f: -0.567 eV per atom
* magnetization: 0.000 μB per atom
* V: 173.3 Å³/cell

Cell lengths 4.1058, 4.1058, 10.2804 Å; angles 90.00, 90.00, 90.00 degrees
With the nearest neighbours (Å) after each atom.
Fractional coordinates of all 10 atoms:
Al  0.5000  0.0000  0.6340  3 Cu 2.37-2.47, 2 Pt 2.47
Al  0.0000  0.0000  0.0000  4 Cu 2.48
Al  0.5000  0.5000  0.0000  4 Cu 2.48
Cu  0.5000  0.0000  0.8649  5 Al 2.37-2.48
Cu  0.0000  0.5000  0.1351  5 Al 2.37-2.48
Al  0.0000  0.5000  0.3660  3 Cu 2.37-2.47, 2 Pt 2.47
Cu  0.0000  0.0000  0.5000  4 Al 2.47
Tm  0.0000  0.5000  0.7511  6 Cu 3.13-3.30, 8 Al 3.14-3.28, 2 Pt 3.30
Tm  0.5000  0.0000  0.2489  6 Cu 3.13-3.30, 8 Al 3.14-3.28, 2 Pt 3.30
Pt  0.5000  0.5000  0.5000  4 Al 2.47



no.,electronic total energy (eV for the cell shown)
1,-56.18
2,-21.26
3,-37.85
4,-120.42
5,-49.44
6,-50.86
7,-53.93
8,-58.88
9,-58.41
10,-57.72
11,-47.91